w:
This record from the Alexandria database describes La2PrGe after structural relaxation. The functional is PBE-GGA.

Calculated values
The value obtained for the calculated volume is 258 Å³ per cell. The total moment is 0.00 μB per formula unit. The space group is P2_1/m.

a b c (Å): 4.2470 9.6221 6.6560
angles (deg): 90.00 108.55 90.00
With the nearest neighbours (Å) after each atom.
Positions (direct):
La 0.1459 0.0546 0.2899  3 Ge 3.15-3.20
La 0.1459 0.4454 0.2899  3 Ge 3.15-3.20
La 0.8541 0.5546 0.7101  3 Ge 3.15-3.20
La 0.8541 0.9454 0.7101  3 Ge 3.15-3.20
Pr 0.4317 0.2500 0.8621  2 Ge 3.08
Pr 0.5683 0.7500 0.1379  2 Ge 3.08
Ge 0.2451 0.7500 0.4920  2 Pr 3.08, 6 La 3.15-3.20
Ge 0.7549 0.2500 0.5080  2 Pr 3.08, 6 La 3.15-3.20

x:
This record from the Alexandria database describes La2PrGe after structural relaxation. The functional is PBE-GGA.

Calculated values
The value obtained for the calculated volume is 475 Å³ per cell. The total moment is 0.00 μB per formula unit. The space group is Fm-3m.

a b c (Å): 7.8044 7.8044 7.8044
angles (deg): 90.00 90.00 90.00
With the nearest neighbours (Å) after each atom.
Positions (direct):
La 0.2500 0.2500 0.2500  4 Ge 3.38, 4 Pr 3.38
La 0.2500 0.2500 0.7500  4 Ge 3.38, 4 Pr 3.38
La 0.2500 0.7500 0.2500  4 Ge 3.38, 4 Pr 3.38
La 0.2500 0.7500 0.7500  4 Ge 3.38, 4 Pr 3.38
La 0.7500 0.2500 0.2500  4 Ge 3.38, 4 Pr 3.38
La 0.7500 0.2500 0.7500  4 Ge 3.38, 4 Pr 3.38
La 0.7500 0.7500 0.2500  4 Ge 3.38, 4 Pr 3.38
La 0.7500 0.7500 0.7500  4 Pr 3.38, 4 Ge 3.38
Pr 0.0000 0.0000 0.0000  8 La 3.38
Pr 0.0000 0.5000 0.5000  8 La 3.38
Pr 0.5000 0.0000 0.5000  8 La 3.38
Pr 0.5000 0.5000 0.0000  8 La 3.38
Ge 0.0000 0.0000 0.5000  8 La 3.38
Ge 0.0000 0.5000 0.0000  8 La 3.38
Ge 0.5000 0.0000 0.0000  8 La 3.38
Ge 0.5000 0.5000 0.5000  8 La 3.38

Top of the stability list: w, leading by 0.316 eV/atom.